[1]
Crystalline PaTcSn2 at its relaxed geometry, computed with GGA-PBE.

As for the density of states at the Fermi level: 0.453 states/eV per atom. The calculation puts the formation energy at -0.237 eV/atom. The relative energy among the computed polymorphs is 0.000 eV per atom.

```
PaTcSn2
1.0
4.717 -0.466 0.000
-1.841 5.430 0.000
0.000 0.000 7.338
Sn Tc Pa
4 2 2
direct
0.642 0.283 0.965
0.358 0.717 0.465
0.642 0.283 0.535
0.358 0.717 0.035
0.147 0.293 0.750
0.853 0.707 0.250
0.923 0.845 0.750
0.077 0.155 0.250
```



[2]
Crystalline Ho6Cd2In at its relaxed geometry, computed with GGA-PBE.

As for the density of states at the Fermi level: 1.142 states/eV per atom. The calculation puts the formation energy at -0.190 eV/atom. The relative energy among the computed polymorphs is 0.039 eV per atom.

```
Ho6Cd2In
1.0
-3.878 -7.852 0.115
1.124 2.385 -8.352
7.794 -0.295 3.983
Cd Ho In
4 12 2
direct
0.358 0.000 0.358
0.500 0.364 0.864
0.642 0.000 0.642
0.500 0.636 0.136
0.271 0.948 0.678
0.554 0.734 0.820
0.201 0.749 0.950
0.271 0.593 0.322
0.729 0.407 0.678
0.201 0.251 0.452
0.446 0.266 0.180
0.914 0.734 0.180
0.799 0.251 0.050
0.729 0.052 0.322
0.086 0.266 0.820
0.799 0.749 0.548
0.000 0.000 0.000
0.000 0.500 0.500
```



[3]
Crystalline Sm2YTm12 at its relaxed geometry, computed with GGA-PBE.

As for the density of states at the Fermi level: 1.742 states/eV per atom. The calculation puts the formation energy at 0.107 eV/atom.

```
Sm2YTm12
1.0
6.399 1.435 -0.534
1.435 6.399 0.534
-1.217 1.217 24.298
Tm Y Sm
24 2 4
direct
0.648 0.852 0.865
0.395 0.605 0.192
0.503 0.497 0.670
0.050 0.950 0.067
0.997 0.003 0.330
0.166 0.833 0.555
0.148 0.352 0.865
0.320 0.180 0.427
0.950 0.050 0.933
0.352 0.148 0.135
0.895 0.105 0.192
0.497 0.503 0.330
0.003 0.997 0.670
0.605 0.395 0.808
0.852 0.648 0.135
0.821 0.679 0.428
0.180 0.320 0.573
0.833 0.166 0.445
0.334 0.667 0.445
0.667 0.334 0.555
0.450 0.550 0.933
0.550 0.450 0.067
0.105 0.895 0.808
0.679 0.821 0.572
0.500 0.000 0.000
0.000 0.500 0.000
0.960 0.540 0.281
0.039 0.461 0.719
0.461 0.039 0.281
0.540 0.960 0.719
```



[4]
Crystalline RbZnHg2Au at its relaxed geometry, computed with GGA-PBE.

As for the density of states at the Fermi level: 0.297 states/eV per atom. The calculation puts the formation energy at -0.128 eV/atom. The relative energy among the computed polymorphs is 0.000 eV per atom.

```
RbZnHg2Au
1.0
-2.205 -2.441 4.411
-2.985 -3.248 -3.290
3.783 -3.455 -0.022
Hg Rb Zn Au
2 1 1 1
direct
0.000 0.500 0.000
0.500 0.000 0.000
0.500 0.500 0.500
0.000 0.000 0.000
0.000 0.000 0.500
```



[5]
Crystalline NdGeO3 at its relaxed geometry, computed with GGA-PBE.

The energy relative to the elements, uncorrected comes out at -219.1 kJ/mol of atoms. As for the density of states at the Fermi level: 0.183 states/eV per atom.

```
NdGeO3
1.0
-1.538 -2.105 -3.078
1.235 -1.840 3.370
-9.571 1.036 4.074
O Nd Ge
6 2 2
direct
0.012 0.034 0.250
0.034 0.012 0.750
0.351 0.696 0.414
0.696 0.351 0.586
0.696 0.351 0.914
0.351 0.696 0.086
0.023 0.023 0.000
0.023 0.023 0.500
0.594 0.453 0.750
0.453 0.594 0.250
```



[6]
Crystalline Cd2PdF6 at its relaxed geometry, computed with GGA-PBE.

The energy relative to the elements, uncorrected comes out at -175.7 kJ/mol of atoms.

```
Cd2PdF6
1.0
5.153 0.000 0.000
0.000 5.153 0.000
0.000 0.000 10.599
F Cd Pd
12 4 2
direct
0.310 0.310 0.164
0.690 0.690 0.836
0.302 0.302 0.500
0.190 0.810 0.664
0.198 0.802 0.000
0.310 0.310 0.836
0.810 0.190 0.336
0.190 0.810 0.336
0.810 0.190 0.664
0.698 0.698 0.500
0.690 0.690 0.164
0.802 0.198 0.000
0.500 0.500 0.666
0.500 0.500 0.334
0.000 0.000 0.166
0.000 0.000 0.834
0.500 0.500 0.000
0.000 0.000 0.500
```



[7]
Crystalline GdScGaOs at its relaxed geometry, computed with GGA-PBE.

As for the density of states at the Fermi level: 0.686 states/eV per atom. The calculation puts the formation energy at -0.367 eV/atom.

```
GdScGaOs
1.0
-3.727 -2.077 2.223
0.730 -3.742 2.933
-0.563 0.521 4.749
Os Ga Gd Sc
1 1 1 1
direct
0.500 0.500 0.500
0.000 0.000 0.000
0.750 0.750 0.750
0.250 0.250 0.250
```



[8]
Crystalline K3Os at its relaxed geometry, computed with GGA-PBE.

As for the density of states at the Fermi level: 1.054 states/eV per atom. The calculation puts the formation energy at 1.237 eV/atom. The relative energy among the computed polymorphs is 0.003 eV per atom.

```
K3Os
1.0
-2.116 0.857 -1.748
-0.017 -4.984 -2.423
-5.348 -2.527 5.236
K Os
3 1
direct
0.500 0.500 0.198
0.000 0.000 0.500
0.500 0.500 0.802
0.000 0.000 0.000
```



[9]
Crystalline BeAu3 at its relaxed geometry, computed with GGA-PBE.

As for the density of states at the Fermi level: 0.194 states/eV per atom. The calculation puts the formation energy at -0.080 eV/atom.

```
BeAu3
1.0
-2.299 4.244 -0.742
-7.303 -0.829 1.815
0.302 4.086 6.367
Be Au
4 12
direct
0.066 0.249 0.668
0.983 0.751 0.332
0.685 0.332 0.249
0.266 0.668 0.751
0.680 0.192 0.961
0.970 0.952 0.604
0.079 0.396 0.952
0.839 0.604 0.667
0.494 0.667 0.396
0.128 0.039 0.192
0.833 0.808 0.039
0.557 0.333 0.604
0.110 0.396 0.333
0.359 0.961 0.808
0.525 0.048 0.396
0.427 0.604 0.048
```



[10]
Crystalline Ac2NdIr at its relaxed geometry, computed with GGA-PBE.

As for the density of states at the Fermi level: 1.500 states/eV per atom. The calculation puts the formation energy at -0.110 eV/atom. The relative energy among the computed polymorphs is 0.290 eV per atom.

```
Ac2NdIr
1.0
-1.450 -1.680 -3.485
1.295 -3.741 -1.185
-8.306 -6.463 4.122
Ac Ir Nd
2 1 1
direct
0.885 0.885 0.345
0.115 0.115 0.655
0.500 0.500 0.500
0.000 0.000 0.000
```



[11]
Crystalline CdTcPb2 at its relaxed geometry, computed with GGA-PBE.

As for the density of states at the Fermi level: 0.421 states/eV per atom. The calculation puts the formation energy at 0.384 eV/atom.

```
CdTcPb2
1.0
7.449 0.010 0.006
6.788 3.066 0.006
1.440 0.311 4.398
Pb Tc Cd
2 1 1
direct
0.005 0.005 0.995
0.814 0.814 0.686
0.501 0.501 0.499
0.180 0.180 0.320
```



[12]
Crystalline HIrSeF2 at its relaxed geometry, computed with GGA-PBE.

As for the density of states at the Fermi level: 0.660 states/eV per atom.

```
HIrSeF2
1.0
4.323 0.000 0.000
0.000 3.504 0.000
0.000 0.000 4.323
Ir H F Se
1 1 2 1
direct
0.000 0.000 0.000
0.000 0.500 0.000
0.500 0.000 0.000
0.000 0.000 0.500
0.500 0.500 0.500
```



[13]
Crystalline HoScPd4 at its relaxed geometry, computed with GGA-PBE.

As for the density of states at the Fermi level: 0.729 states/eV per atom. The calculation puts the formation energy at -0.741 eV/atom. The relative energy among the computed polymorphs is 0.027 eV per atom.

```
HoScPd4
1.0
-5.281 0.675 -0.710
-3.282 0.162 4.249
-2.331 4.626 1.418
Sc Pd Ho
1 4 1
direct
0.250 0.250 0.250
0.625 0.625 0.625
0.625 0.625 0.126
0.625 0.126 0.625
0.126 0.625 0.625
0.000 0.000 0.000
```



[14]
Crystalline Sr2AcTm at its relaxed geometry, computed with GGA-PBE.

As for the density of states at the Fermi level: 1.432 states/eV per atom. The calculation puts the formation energy at 0.338 eV/atom.

```
Sr2AcTm
1.0
3.833 0.000 0.000
1.917 3.320 0.000
1.917 1.107 13.887
Sr Tm Ac
2 1 1
direct
0.915 0.915 0.254
0.085 0.085 0.746
0.000 0.000 0.000
0.500 0.500 0.500
```



Computed values of final energy (unit: eV per formula unit) for the preceding records, in sequence: -28.814 -33.747 -67.952 -6.764 -35.615 -34.637 -36.136 -9.575 -13.877 -22.286 -17.161 -18.811 -36.129 -10.593.